Density functional theory data (PBE-GGA) for CsSi3F after structural relaxation.

Output
Its energy relative to the lowest polymorph listed for this composition is 0.000 eV per atom. The calculation puts the spin magnetization at 0.0 Bohr magnetons per cell. The electronic total energy is -3.149 eV/atom.

Cell and atoms, written as CIF:
```
data_CsSi3F
_cell_length_a 4.8767
_cell_length_b 4.8767
_cell_length_c 4.8767
_cell_angle_alpha 90.00
_cell_angle_beta 90.00
_cell_angle_gamma 90.00
_symmetry_space_group_name_H-M 'P m -3 m'
_symmetry_Int_Tables_number 221
_symmetry_space_group_name_Hall '-P 4 2 3'
loop_
_atom_site_label
_atom_site_type_symbol
_atom_site_fract_x
_atom_site_fract_y
_atom_site_fract_z
Cs1 Cs 0.0000 0.0000 0.0000
Si1 Si 0.0000 0.5000 0.5000
F1 F 0.5000 0.5000 0.5000
```